A plane-wave DFT calculation with PBE+U was carried out for a relaxed Li3In2NiO6 crystal.

Geometry as extended XYZ:
```
12
Lattice="-1.296 5.074 1.451 -3.551 -3.143 -2.653 -0.252 -2.274 4.690" Properties=species:S:1:pos:R:3 pbc="T T T"
Li -3.342 -3.058 0.302
Li -1.757 2.715 3.186
Li -2.550 -0.171 1.744
In -2.807 -0.434 -1.300
In -2.039 2.365 0.098
Ni 0.000 0.000 0.000
O -3.542 1.035 3.280
O -3.800 0.987 0.113
O -1.557 -1.378 0.208
O -4.247 -1.533 1.997
O -1.299 -1.330 3.375
O -0.852 1.190 1.491
```

Values from the calculation:
Space group ... C2/m, No. 12
E ... -0.190 hartree per atom